Material: PtCl2F
Method: DFT, GGA-PBE
State: optimized geometry

POSCAR file:
```
PtCl2F
1.0
5.6722 0.0000 0.0000
0.0000 5.6722 0.0000
2.8361 2.8361 5.9107
Pt Cl F
2 4 2
direct
0.7500 0.2500 0.5000 Pt
0.0000 0.0000 0.0000 Pt
0.8750 0.9375 0.7500 Cl
0.0625 0.6250 0.2500 Cl
0.3750 0.3125 0.7500 Cl
0.6875 0.1250 0.2500 Cl
0.2500 0.7500 0.5000 F
0.5000 0.5000 0.0000 F
```

Computed properties:
total moment: 0.00 μB per formula unit
symmetry: I-42d, No. 122
excess energy over the best structure of this formula in the dataset: 0.619 eV/atom
raw total energy: -2.848 eV/atom
E_form (uncorrected): 0.05 eV/atom